# 1
VASP calculation (GGA-PBE) on a relaxed structure of Pr2Ga3Cu4.

- space group = Cmce (64)
- formation energy from the elements (kJ/mol of atoms) = -30
- D(E_F) (states/eV/cell) = 10.3
- M_tot (μB/f.u.) = 0.00

abc: 8.283 8.283 7.055
angles: 90.00 90.00 137.17
Fractional coordinates of all 18 atoms:
Pr: 0.112 0.888 0.913
Pr: 0.388 0.612 0.413
Pr: 0.612 0.388 0.587
Pr: 0.888 0.112 0.087
Ga: 0.000 0.000 0.500
Ga: 0.015 0.485 0.750
Ga: 0.485 0.015 0.250
Ga: 0.500 0.500 0.000
Ga: 0.515 0.985 0.750
Ga: 0.985 0.515 0.250
Cu: 0.167 0.833 0.494
Cu: 0.185 0.315 0.750
Cu: 0.315 0.185 0.250
Cu: 0.333 0.667 0.994
Cu: 0.667 0.333 0.006
Cu: 0.685 0.815 0.750
Cu: 0.815 0.685 0.250
Cu: 0.833 0.167 0.506

=====

# 2
VASP calculation (GGA-PBE) on a relaxed structure of Tb2YPt3.

- space group = Immm (71)
- formation energy from the elements (kJ/mol of atoms) = -107
- D(E_F) (states/eV/cell) = 4.9
- M_tot (μB/f.u.) = 0.00

abc: 7.066 7.066 7.066
angles: 146.34 131.77 60.10
Fractional coordinates of all 6 atoms:
Tb: 0.166 0.166 0.000
Tb: 0.834 0.834 0.000
Y: 0.500 0.500 0.000
Pt: 0.000 0.500 0.500
Pt: 0.333 0.833 0.500
Pt: 0.667 0.167 0.500

=====

# 3
VASP calculation (GGA-PBE) on a relaxed structure of Al2ZnNi.

- space group = P4/mmm (123)
- formation energy from the elements (kJ/mol of atoms) = -20
- D(E_F) (states/eV/cell) = 0.8
- M_tot (μB/f.u.) = 0.00

abc: 4.429 4.429 2.789
angles: 90.00 90.00 90.00
Fractional coordinates of all 4 atoms:
Al: 0.000 0.500 0.000
Al: 0.500 0.000 0.000
Zn: 0.000 0.000 0.500
Ni: 0.500 0.500 0.500

=====

# 4
VASP calculation (GGA-PBE) on a relaxed structure of MgSc2Tl2.

- space group = P4/mbm (127)
- formation energy from the elements (kJ/mol of atoms) = -6
- D(E_F) (states/eV/cell) = 6.8
- M_tot (μB/f.u.) = 0.00

abc: 8.599 8.599 3.398
angles: 90.00 90.00 90.00
Fractional coordinates of all 10 atoms:
Mg: 0.000 0.000 0.000
Mg: 0.500 0.500 0.000
Sc: 0.127 0.373 0.000
Sc: 0.373 0.873 0.000
Sc: 0.627 0.127 0.000
Sc: 0.873 0.627 0.000
Tl: 0.177 0.677 0.500
Tl: 0.323 0.177 0.500
Tl: 0.677 0.823 0.500
Tl: 0.823 0.323 0.500

=====

# 5
VASP calculation (GGA-PBE) on a relaxed structure of SrHg6Pb12.

- space group = R-3m (166)
- formation energy from the elements (kJ/mol of atoms) = 4
- D(E_F) (states/eV/cell) = 9.2
- M_tot (μB/f.u.) = 0.00

abc: 9.043 9.043 9.043
angles: 107.17 107.17 107.17
Fractional coordinates of all 19 atoms:
Sr: 0.000 0.000 0.000
Hg: 0.260 0.722 0.722
Hg: 0.278 0.278 0.740
Hg: 0.278 0.740 0.278
Hg: 0.722 0.260 0.722
Hg: 0.722 0.722 0.260
Hg: 0.740 0.278 0.278
Pb: 0.113 0.500 0.887
Pb: 0.113 0.887 0.500
Pb: 0.172 0.407 0.407
Pb: 0.407 0.172 0.407
Pb: 0.407 0.407 0.172
Pb: 0.500 0.113 0.887
Pb: 0.500 0.887 0.113
Pb: 0.593 0.593 0.828
Pb: 0.593 0.828 0.593
Pb: 0.828 0.593 0.593
Pb: 0.887 0.113 0.500
Pb: 0.887 0.500 0.113

=====

# 6
VASP calculation (GGA-PBE) on a relaxed structure of Ba2TlH.

- space group = R3m (160)
- final energy (eV/atom) = -2.638
- D(E_F) (states/eV/cell) = 2.1
- M_tot (μB/f.u.) = 0.00

abc: 8.901 8.901 8.901
angles: 28.04 28.04 28.04
Fractional coordinates of all 4 atoms:
Ba: 0.000 0.000 0.000
Ba: 0.199 0.199 0.199
Tl: 0.767 0.767 0.767
H: 0.600 0.600 0.600

=====

# 7
VASP calculation (GGA-PBE) on a relaxed structure of Na2TiFeP.

- space group = P4/mmm (123)
- formation energy from the elements (kJ/mol of atoms) = 64
- D(E_F) (states/eV/cell) = 6.2
- M_tot (μB/f.u.) = 1.08

abc: 5.167 5.167 4.217
angles: 90.00 90.00 90.00
Fractional coordinates of all 5 atoms:
Na: 0.000 0.500 0.000
Na: 0.500 0.000 0.000
Ti: 0.000 0.000 0.500
Fe: 0.500 0.500 0.500
P: 0.500 0.500 0.000

=====

# 8
VASP calculation (GGA-PBE) on a relaxed structure of RbSb3Se5.

- formation energy (no corrections) (meV/atom) = -456
- space group = P2_1/c (14)
- M_tot (μB/f.u.) = 0.00

abc: 8.853 13.391 12.418
angles: 90.00 128.04 90.00
Fractional coordinates of all 36 atoms:
Rb: 0.177 0.248 0.302
Rb: 0.177 0.252 0.802
Rb: 0.823 0.748 0.198
Rb: 0.823 0.752 0.698
Sb: 0.251 0.598 0.630
Sb: 0.251 0.902 0.130
Sb: 0.314 0.541 0.322
Sb: 0.314 0.959 0.822
Sb: 0.361 0.560 0.041
Sb: 0.361 0.940 0.541
Sb: 0.639 0.060 0.459
Sb: 0.639 0.440 0.959
Sb: 0.686 0.041 0.178
Sb: 0.686 0.459 0.678
Sb: 0.749 0.098 0.870
Sb: 0.749 0.402 0.370
Se: 0.099 0.518 0.787
Se: 0.099 0.982 0.287
Se: 0.143 0.645 0.095
Se: 0.143 0.855 0.595
Se: 0.322 0.689 0.464
Se: 0.322 0.811 0.964
Se: 0.323 0.086 0.098
Se: 0.323 0.414 0.598
Se: 0.391 0.122 0.644
Se: 0.391 0.378 0.144
Se: 0.609 0.622 0.856
Se: 0.609 0.878 0.356
Se: 0.677 0.586 0.402
Se: 0.677 0.914 0.902
Se: 0.678 0.189 0.036
Se: 0.678 0.311 0.536
Se: 0.857 0.145 0.405
Se: 0.857 0.355 0.905
Se: 0.901 0.018 0.713
Se: 0.901 0.482 0.213